Here is an optimized crystal structure of ZrAlP2 from Alexandria. Energies are from GGA-PBE.

abc: 6.6037 6.6037 6.6037
angles: 31.56 31.56 31.56
Fractional coordinates of all 4 atoms:
1 P 0.0067 0.0067 0.0067
2 P 0.4933 0.4933 0.4933
3 Al 0.7500 0.7500 0.7500
4 Zr 0.2500 0.2500 0.2500

Properties
The total energy is -6.508 eV/atom. The value obtained for the formation energy is -0.730 eV/atom. The total magnetic moment is 0.00 μB per formula unit.

Here is an optimized crystal structure of ZrAlP2 from Alexandria. Energies are from GGA-PBE.

abc: 3.1594 3.1594 7.2424
angles: 90.00 90.00 108.23
Fractional coordinates of all 4 atoms:
1 P 0.0000 0.0000 0.9944
2 P 0.0000 0.0000 0.5056
3 Al 0.5000 0.5000 0.7500
4 Zr 0.5000 0.5000 0.2500

Properties
The total energy is -6.105 eV/atom. The value obtained for the formation energy is -0.327 eV/atom. The total magnetic moment is 0.00 μB per formula unit.

Here is an optimized crystal structure of Zr2AlP2 from Alexandria. Energies are from GGA-PBE.

abc: 5.0735 5.0735 5.7463
angles: 63.80 63.80 90.00
Fractional coordinates of all 5 atoms:
1 P 0.7500 0.2500 0.5000
2 P 0.2500 0.7500 0.5000
3 Al 0.0000 0.0000 0.0000
4 Zr 0.3008 0.3008 0.3984
5 Zr 0.6992 0.6992 0.6016

Properties
The total energy is -6.644 eV/atom. The value obtained for the formation energy is -0.312 eV/atom. The value obtained for the energy above the most stable polymorph in this dataset is 526 meV per atom. The total magnetic moment is 0.00 μB per formula unit.

Here is an optimized crystal structure of Zr2AlP2 from Alexandria. Energies are from GGA-PBE.

abc: 7.3066 7.3066 3.4587
angles: 90.00 90.00 90.00
Fractional coordinates of all 10 atoms:
1 P 0.1459 0.6459 0.5000
2 P 0.6459 0.8541 0.5000
3 P 0.8541 0.3541 0.5000
4 P 0.3541 0.1459 0.5000
5 Al 0.0000 0.0000 0.0000
6 Al 0.5000 0.5000 0.0000
7 Zr 0.3484 0.8484 0.0000
8 Zr 0.8484 0.6516 0.0000
9 Zr 0.6516 0.1516 0.0000
10 Zr 0.1516 0.3484 0.0000

Properties
The total energy is -7.013 eV/atom. The value obtained for the formation energy is -0.681 eV/atom. The value obtained for the energy above the most stable polymorph in this dataset is 157 meV per atom. The total magnetic moment is 0.00 μB per formula unit.

Here is an optimized crystal structure of Zr2AlP2 from Alexandria. Energies are from GGA-PBE.

abc: 7.0519 7.0519 3.4934
angles: 90.00 90.00 90.00
Fractional coordinates of all 10 atoms:
1 P 0.3583 0.8583 0.0000
2 P 0.8583 0.6417 0.0000
3 P 0.6417 0.1417 0.0000
4 P 0.1417 0.3583 0.0000
5 Al 0.0000 0.0000 0.0000
6 Al 0.5000 0.5000 0.0000
7 Zr 0.1561 0.6561 0.5000
8 Zr 0.6561 0.8439 0.5000
9 Zr 0.8439 0.3439 0.5000
10 Zr 0.3439 0.1561 0.5000

Properties
The total energy is -7.170 eV/atom. The value obtained for the formation energy is -0.838 eV/atom. The value obtained for the energy above the most stable polymorph in this dataset is 0 meV per atom. The total magnetic moment is 0.00 μB per formula unit.

Here is an optimized crystal structure of Zr2Al2P from Alexandria. Energies are from GGA-PBE.

abc: 6.8246 6.8246 4.3254
angles: 90.00 90.00 90.00
Fractional coordinates of all 10 atoms:
1 P 0.0000 0.0000 0.0000
2 P 0.5000 0.5000 0.0000
3 Al 0.1393 0.6393 0.5000
4 Al 0.6393 0.8607 0.5000
5 Al 0.8607 0.3607 0.5000
6 Al 0.3607 0.1393 0.5000
7 Zr 0.3338 0.8338 0.0000
8 Zr 0.8338 0.6662 0.0000
9 Zr 0.6662 0.1662 0.0000
10 Zr 0.1662 0.3338 0.0000

Properties
The total energy is -6.554 eV/atom. The value obtained for the formation energy is -0.555 eV/atom. The value obtained for the energy above the most stable polymorph in this dataset is 0 meV per atom. The total magnetic moment is 0.00 μB per formula unit.

Here is an optimized crystal structure of ZrAlP from Alexandria. Energies are from GGA-PBE.

abc: 3.5149 3.5149 5.3837
angles: 90.00 90.00 120.00
Fractional coordinates of all 3 atoms:
1 P 0.6667 0.3333 0.3184
2 Al 0.0000 0.0000 0.0559
3 Zr 0.3333 0.6667 0.6257

Properties
The total energy is -6.281 eV/atom. The value obtained for the formation energy is -0.381 eV/atom. The total magnetic moment is 0.00 μB per formula unit.

Here is an optimized crystal structure of Zr3AlP from Alexandria. Energies are from GGA-PBE.

abc: 4.8490 4.8490 4.8490
angles: 90.00 90.00 90.00
Fractional coordinates of all 5 atoms:
1 P 0.0000 0.0000 0.0000
2 Al 0.5000 0.5000 0.5000
3 Zr 0.0000 0.5000 0.0000
4 Zr 0.0000 0.0000 0.5000
5 Zr 0.5000 0.0000 0.0000

Properties
The total energy is -7.300 eV/atom. The value obtained for the formation energy is -0.341 eV/atom. The value obtained for the energy above the most stable polymorph in this dataset is 0 meV per atom. The total magnetic moment is 0.00 μB per formula unit.

Here is an optimized crystal structure of ZrAlP2 from Alexandria. Energies are from GGA-PBE.

abc: 4.6008 4.6008 4.6008
angles: 60.00 60.00 60.00
Fractional coordinates of all 4 atoms:
1 P 0.0000 0.0000 0.0000
2 P 0.2500 0.2500 0.2500
3 Al 0.5000 0.5000 0.5000
4 Zr 0.7500 0.7500 0.7500

Properties
The total energy is -5.609 eV/atom. The value obtained for the formation energy is 0.168 eV/atom. The total magnetic moment is 0.00 μB per formula unit.

Here is an optimized crystal structure of ZrAlP from Alexandria. Energies are from GGA-PBE.

abc: 4.5192 4.5192 7.2258
angles: 71.78 71.78 60.00
Fractional coordinates of all 6 atoms:
1 Zr 0.5858 0.5858 0.2426
2 Zr 0.4142 0.4142 0.7574
3 P 0.2811 0.2811 0.1567
4 P 0.7189 0.7189 0.8433
5 Al 0.8366 0.8366 0.4902
6 Al 0.1634 0.1634 0.5098

Properties
The total energy is -6.424 eV/atom. The value obtained for the formation energy is -0.524 eV/atom. The total magnetic moment is 0.00 μB per formula unit.

Here is an optimized crystal structure of Zr6Al2P from Alexandria. Energies are from GGA-PBE.

abc: 7.5768 7.5768 3.7159
angles: 90.00 90.00 120.00
Fractional coordinates of all 9 atoms:
1 Al 0.3333 0.6667 0.0000
2 Al 0.6667 0.3333 0.0000
3 P 0.0000 0.0000 0.5000
4 Zr 0.2550 0.0000 0.0000
5 Zr 0.0000 0.2550 0.0000
6 Zr 0.7450 0.7450 0.0000
7 Zr 0.6060 0.0000 0.5000
8 Zr 0.0000 0.6060 0.5000
9 Zr 0.3940 0.3940 0.5000

Properties
The total energy is -7.741 eV/atom. The value obtained for the formation energy is -0.609 eV/atom. The total magnetic moment is 0.00 μB per formula unit.

Here is an optimized crystal structure of ZrAlP2 from Alexandria. Energies are from GGA-PBE.

abc: 3.7664 5.2398 3.4840
angles: 90.00 90.00 90.00
Fractional coordinates of all 4 atoms:
1 P 0.0000 0.0000 0.0000
2 P 0.5000 0.5000 0.0000
3 Al 0.0000 0.5000 0.5000
4 Zr 0.5000 0.0000 0.5000

Properties
The total energy is -6.263 eV/atom. The value obtained for the formation energy is -0.486 eV/atom. The total magnetic moment is 0.00 μB per formula unit.